DFT (PBE) results for crystalline Pr2DyZnTe5 at its relaxed geometry.

The structure belongs to space group Cmc2_1 (No. 36); the cell edges are 4.317, 19.366 and 13.251 Å and the angles 90.00°, 90.00° and 90.00°. The distinct sites, in fractional coordinates, are Pr at (0.000, 0.114, 0.000), Pr at (0.000, 0.129, 0.624), Dy at (0.000, 0.199, 0.329), Zn at (0.000, 0.436, 0.774), Te at (0.000, 0.046, 0.387), Te at (0.000, 0.286, 0.991), Te at (0.000, 0.312, 0.664), Te at (0.000, 0.357, 0.317) and Te at (0.000, 0.499, 0.102).

The calculation puts the total energy at -41.91 eV/f.u. As for the density of states at the Fermi level: 0.162 states/eV per atom.